Record 1
# Al13Cr2

Al13Cr2 after structural relaxation (PBE-GGA, Alexandria via LeMat-Bulk).

Computed properties:
* space-group type: P-1 (2)
* E: -0.334 Ry per atom

```
15
Lattice="5.236 0.000 0.000 1.082 6.709 0.000 0.158 1.615 6.844" Properties=species:S:1:pos:R:3 pbc="T T T"
Al 0.000 0.000 0.000
Al 0.533 3.283 2.430
Al 2.218 7.528 4.118
Al 1.905 4.074 0.063
Al 2.119 3.007 5.495
Al 1.912 1.139 1.362
Al 3.368 5.107 4.285
Al 3.108 3.218 2.559
Al 4.564 7.186 5.482
Al 4.357 5.317 1.350
Al 4.571 4.251 6.781
Al 4.258 0.796 2.726
Al 5.943 5.041 4.414
Cr 1.848 5.630 2.171
Cr 4.628 2.694 4.673
```

Record 2
# Al5Cr

Al5Cr after structural relaxation (PBE-GGA, Alexandria via LeMat-Bulk).

Computed properties:
* space-group type: Amm2 (38)
* E: -0.348 Ry per atom

```
6
Lattice="4.439 0.000 0.000 0.000 1.429 7.222 0.000 -1.429 7.222" Properties=species:S:1:pos:R:3 pbc="T T T"
Al 0.000 0.000 0.000
Al 0.000 0.000 4.511
Al 2.220 0.000 1.522
Al 2.220 0.000 6.217
Al 2.220 0.000 11.022
Cr 0.000 0.000 9.514
```

Record 3
# Al5Cr4

Al5Cr4 after structural relaxation (PBE-GGA, Alexandria via LeMat-Bulk).

Computed properties:
* offset from the most stable computed form: 0.043 eV per atom
* space-group type: I4/mmm (139)
* E: -0.462 Ry per atom

```
9
Lattice="-4.488 4.488 1.504 4.488 -4.488 1.504 4.488 4.488 -1.504" Properties=species:S:1:pos:R:3 pbc="T T T"
Al 0.000 0.000 0.000
Al 2.987 2.987 0.000
Al 1.501 -1.501 1.504
Al -1.501 1.501 1.504
Al 1.501 1.501 1.504
Cr 3.097 0.000 0.000
Cr 5.878 0.000 0.000
Cr 0.000 3.097 0.000
Cr 0.000 5.878 0.000
```

Record 4
# Al4Cr3

Al4Cr3 after structural relaxation (PBE-GGA, Alexandria via LeMat-Bulk).

Computed properties:
* offset from the most stable computed form: 0.000 eV per atom
* space-group type: I4/mmm (139)
* E: -0.469 Ry per atom

```
7
Lattice="-1.512 1.512 10.395 1.512 -1.512 10.395 1.512 1.512 -10.395" Properties=species:S:1:pos:R:3 pbc="T T T"
Al 0.000 0.000 1.439
Al 0.000 0.000 7.260
Al 0.000 0.000 13.531
Al 0.000 0.000 19.352
Cr 0.000 0.000 4.593
Cr 0.000 0.000 10.395
Cr 0.000 0.000 16.198
```